The following is a PBE calculation of an optimized crystal structure of NaYIn, from the Alexandria database.

Formation enthalpy at 0 K = -0.203 eV/atom
Space-group type = Cmcm (63)

POSCAR file:
```
NaYIn
1.0
3.640 0.000 0.000
0.000 17.384 0.000
0.000 0.000 5.338
Na Y In
4 4 4
Cartesian
0.000 4.350 1.335
0.000 13.035 4.004
1.820 4.342 4.004
1.820 13.042 1.335
0.000 1.202 4.004
0.000 16.182 1.335
1.820 7.490 1.335
1.820 9.894 4.004
0.000 7.016 4.004
0.000 10.368 1.335
1.820 1.676 1.335
1.820 15.708 4.004
```